No. 1
Below is a geometry-optimized Ba2AcAl2P4 structure, with properties calculated at the PBE level.

Lattice parameters (Å, degrees): 4.275 7.732 8.215 110.75 105.08 90.00
Element x y z (fractional)
Ac  0.000  0.000  0.000
P  0.469  0.255  0.938
P  0.211  0.166  0.423
P  0.789  0.834  0.577
P  0.531  0.745  0.062
Ba  0.131  0.560  0.261
Ba  0.869  0.440  0.739
Al  0.323  0.016  0.646
Al  0.677  0.984  0.354

Its raw total energy is -5.0682 eV per atom.

No. 2
Below is a geometry-optimized Ba2AcAlS5 structure, with properties calculated at the PBE level.

Lattice parameters (Å, degrees): 4.211 9.514 13.388 90.00 90.00 102.79
Element x y z (fractional)
Ba  0.874  0.748  0.840
Ba  0.886  0.771  0.185
Ba  0.114  0.229  0.685
Ba  0.126  0.252  0.340
Ac  0.803  0.607  0.537
Ac  0.197  0.393  0.037
S  0.506  0.013  0.269
S  0.705  0.409  0.187
S  0.650  0.299  0.515
S  0.295  0.591  0.687
S  0.670  0.341  0.877
S  0.350  0.701  0.015
S  0.330  0.659  0.377
S  0.030  0.059  0.000
S  0.970  0.941  0.500
S  0.494  0.987  0.769
Al  0.550  0.101  0.914
Al  0.450  0.899  0.414

As for the uncorrected formation energy: -1.841 eV per atom. Its raw total energy is -5.4340 eV per atom.

No. 3
Below is a geometry-optimized BaAcAlSe4 structure, with properties calculated at the PBE level.

Lattice parameters (Å, degrees): 7.098 7.100 9.000 90.00 107.76 90.00
Element x y z (fractional)
Al  0.223  0.750  0.309
Al  0.777  0.250  0.691
Se  0.411  0.750  0.579
Se  0.005  0.508  0.742
Se  0.005  0.992  0.742
Se  0.995  0.492  0.258
Se  0.582  0.250  0.865
Se  0.589  0.250  0.421
Se  0.995  0.008  0.258
Se  0.418  0.750  0.135
Ba  0.264  0.250  0.067
Ba  0.736  0.750  0.933
Ac  0.771  0.750  0.445
Ac  0.229  0.250  0.555

As for the uncorrected formation energy: -1.680 eV per atom. Its raw total energy is -5.0678 eV per atom.

No. 4
Below is a geometry-optimized BaAcAlSi structure, with properties calculated at the PBE level.

Lattice parameters (Å, degrees): 5.624 5.624 5.624 60.00 60.00 60.00
Element x y z (fractional)
Al  0.250  0.250  0.250
Si  0.750  0.750  0.750
Ac  0.000  0.000  0.000
Ba  0.500  0.500  0.500

As for the uncorrected formation energy: -0.101 eV per atom. Its raw total energy is -3.9002 eV per atom.

No. 5
Below is a geometry-optimized Ba2AcAlTe5 structure, with properties calculated at the PBE level.

Lattice parameters (Å, degrees): 4.629 10.676 14.614 90.00 90.00 102.52
Element x y z (fractional)
Al  0.557  0.113  0.917
Al  0.443  0.887  0.417
Te  0.502  0.005  0.261
Te  0.680  0.361  0.867
Te  0.032  0.065  0.016
Te  0.320  0.639  0.367
Te  0.647  0.294  0.514
Te  0.299  0.598  0.690
Te  0.701  0.402  0.190
Te  0.353  0.706  0.014
Te  0.968  0.935  0.516
Te  0.498  0.995  0.761
Ba  0.880  0.761  0.187
Ba  0.120  0.239  0.687
Ba  0.882  0.763  0.839
Ba  0.118  0.237  0.339
Ac  0.802  0.603  0.533
Ac  0.198  0.397  0.033

As for the uncorrected formation energy: -1.367 eV per atom. Its raw total energy is -4.4121 eV per atom.

No. 6
Below is a geometry-optimized BaAcAl2Zn2 structure, with properties calculated at the PBE level.

Lattice parameters (Å, degrees): 4.493 4.493 9.829 90.00 90.00 120.00
Element x y z (fractional)
Zn  0.333  0.667  0.769
Zn  0.667  0.333  0.231
Al  0.333  0.667  0.236
Al  0.667  0.333  0.764
Ba  0.000  0.000  0.500
Ac  0.000  0.000  0.000

Its raw total energy is -2.9177 eV per atom.

No. 7
Below is a geometry-optimized BaAcAlZn structure, with properties calculated at the PBE level.

Lattice parameters (Å, degrees): 5.695 5.695 5.695 60.00 60.00 60.00
Element x y z (fractional)
Al  0.500  0.500  0.500
Ba  0.750  0.750  0.750
Ac  0.250  0.250  0.250
Zn  0.000  0.000  0.000

Its raw total energy is -2.8937 eV per atom.

No. 8
Below is a geometry-optimized Ac2BeAl7 structure, with properties calculated at the PBE level.

Lattice parameters (Å, degrees): 4.460 4.460 10.887 90.00 90.00 90.00
Element x y z (fractional)
Al  0.000  0.500  0.637
Al  0.500  0.000  0.121
Al  0.000  0.000  0.000
Al  0.000  0.500  0.879
Al  0.500  0.000  0.363
Al  0.500  0.500  0.500
Al  0.000  0.000  0.500
Be  0.500  0.500  0.000
Ac  0.000  0.500  0.242
Ac  0.500  0.000  0.758

Its raw total energy is -4.0769 eV per atom.

No. 9
Below is a geometry-optimized Ac2BeAlCu6 structure, with properties calculated at the PBE level.

Lattice parameters (Å, degrees): 6.476 6.477 6.480 59.80 59.81 89.87
Element x y z (fractional)
Cu  0.731  0.269  0.000
Cu  0.269  0.269  0.462
Cu  0.269  0.731  0.000
Cu  0.269  0.269  0.000
Cu  0.731  0.731  0.000
Cu  0.731  0.731  0.538
Al  0.000  0.000  0.000
Ac  0.250  0.750  0.500
Ac  0.750  0.250  0.500
Be  0.500  0.500  0.000

Its raw total energy is -4.0636 eV per atom.

No. 10
Below is a geometry-optimized AcBeAl2Ir2 structure, with properties calculated at the PBE level.

Lattice parameters (Å, degrees): 4.318 4.318 5.917 90.00 90.00 90.00
Element x y z (fractional)
Al  0.500  0.500  0.751
Al  0.500  0.500  0.249
Be  0.000  0.000  0.000
Ac  0.000  0.000  0.500
Ir  0.000  0.500  0.000
Ir  0.500  0.000  0.000

Its raw total energy is -6.1513 eV per atom.

No. 11
Below is a geometry-optimized AcBeAlPd3 structure, with properties calculated at the PBE level.

Lattice parameters (Å, degrees): 6.436 5.896 6.719 116.02 90.00 90.00
Element x y z (fractional)
Ac  0.250  0.718  0.436
Ac  0.750  0.282  0.564
Pd  0.000  0.254  0.000
Pd  0.500  0.746  0.000
Pd  0.750  0.822  0.644
Pd  0.500  0.254  0.000
Pd  0.250  0.178  0.356
Pd  0.000  0.746  0.000
Be  0.250  0.983  0.967
Be  0.750  0.017  0.033
Al  0.250  0.386  0.771
Al  0.750  0.614  0.229

Its raw total energy is -5.1900 eV per atom.

No. 12
Below is a geometry-optimized AcBeAlPd6 structure, with properties calculated at the PBE level.

Lattice parameters (Å, degrees): 7.133 8.551 7.893 122.80 116.86 90.00
Element x y z (fractional)
Pd  0.140  0.889  0.752
Pd  0.612  0.363  0.752
Pd  0.860  0.637  0.248
Pd  0.388  0.111  0.248
Pd  0.902  0.152  0.803
Pd  0.388  0.637  0.248
Pd  0.140  0.363  0.752
Pd  0.553  0.303  0.106
Pd  0.098  0.848  0.197
Pd  0.860  0.111  0.248
Pd  0.612  0.889  0.752
Pd  0.447  0.697  0.894
Al  0.000  0.000  0.500
Al  0.500  0.000  0.500
Ac  0.826  0.576  0.653
Ac  0.174  0.424  0.347
Be  0.500  0.500  0.000
Be  0.500  0.000  0.000

Its raw total energy is -5.1618 eV per atom.

No. 13
Below is a geometry-optimized AcBeAlPt2 structure, with properties calculated at the PBE level.

Lattice parameters (Å, degrees): 4.149 4.149 6.397 108.92 108.92 90.00
Element x y z (fractional)
Pt  0.369  0.369  0.738
Pt  0.631  0.631  0.262
Ac  0.000  0.000  0.000
Al  0.750  0.250  0.500
Be  0.250  0.750  0.500

Its raw total energy is -5.6362 eV per atom.